# 1
# Dy2AlFe PBE-GGA relaxed
# Magnetic moment   5.79 μB/cell
# Formation enthalpy at 0 K   -0.07 eV/atom
# Final energy   -5.422 eV per atom
data_Dy2AlFe
_chemical_formula_sum 'Dy8 Al4 Fe4'
_space_group_name_H-M_alt 'F m -3 m'
_space_group_IT_number 225
_space_group_name_Hall '-F 4 2 3'
_cell_length_a 7.0350
_cell_length_b 7.0350
_cell_length_c 7.0350
_cell_angle_alpha 90.00
_cell_angle_beta 90.00
_cell_angle_gamma 90.00
loop_
_atom_site_label
_atom_site_type_symbol
_atom_site_fract_x
_atom_site_fract_y
_atom_site_fract_z
Dy1 Dy 0.2500 0.2500 0.2500
Al1 Al 0.0000 0.0000 0.0000
Fe1 Fe 0.0000 0.0000 0.5000

---

# 2
# In2GaNiBi PBE-GGA relaxed
# Magnetic moment   0.00 μB/cell
# Formation enthalpy at 0 K   0.02 eV/atom
# Final energy   -3.614 eV per atom
data_In2GaNiBi
_chemical_formula_sum 'In2 Ga1 Ni1 Bi1'
_space_group_name_H-M_alt 'P 4/m m m'
_space_group_IT_number 123
_space_group_name_Hall '-P 4 2'
_cell_length_a 5.1416
_cell_length_b 5.1416
_cell_length_c 4.5790
_cell_angle_alpha 90.00
_cell_angle_beta 90.00
_cell_angle_gamma 90.00
loop_
_atom_site_label
_atom_site_type_symbol
_atom_site_fract_x
_atom_site_fract_y
_atom_site_fract_z
In1 In 0.0000 0.5000 0.0000
Ga1 Ga 0.0000 0.0000 0.5000
Ni1 Ni 0.0000 0.0000 0.0000
Bi1 Bi 0.5000 0.5000 0.5000

---

# 3
# SrPr2Cd PBE-GGA relaxed
# Magnetic moment   0.00 μB/cell
# Formation enthalpy at 0 K   -0.07 eV/atom
# Final energy   -3.105 eV per atom
data_SrPr2Cd
_chemical_formula_sum 'Sr1 Pr2 Cd1'
_space_group_name_H-M_alt 'P 4/m m m'
_space_group_IT_number 123
_space_group_name_Hall '-P 4 2'
_cell_length_a 3.9525
_cell_length_b 3.9525
_cell_length_c 9.4441
_cell_angle_alpha 90.00
_cell_angle_beta 90.00
_cell_angle_gamma 90.00
loop_
_atom_site_label
_atom_site_type_symbol
_atom_site_fract_x
_atom_site_fract_y
_atom_site_fract_z
Sr1 Sr 0.0000 0.0000 0.0000
Pr1 Pr 0.5000 0.5000 0.3076
Cd1 Cd 0.0000 0.0000 0.5000

---

# 4
# LaMgBe PBE-GGA relaxed
# Magnetic moment   0.00 μB/cell
# Formation enthalpy at 0 K   0.59 eV/atom
# Final energy   -2.824 eV per atom
data_LaMgBe
_chemical_formula_sum 'La4 Mg4 Be4'
_space_group_name_H-M_alt 'F -4 3 m'
_space_group_IT_number 216
_space_group_name_Hall 'F -4 2 3'
_cell_length_a 6.8203
_cell_length_b 6.8203
_cell_length_c 6.8203
_cell_angle_alpha 90.00
_cell_angle_beta 90.00
_cell_angle_gamma 90.00
loop_
_atom_site_label
_atom_site_type_symbol
_atom_site_fract_x
_atom_site_fract_y
_atom_site_fract_z
La1 La 0.0000 0.0000 0.0000
Mg1 Mg 0.2500 0.2500 0.7500
Be1 Be 0.0000 0.0000 0.5000

---

# 5
# MnHg2Os PBE-GGA relaxed
# Magnetic moment   6.62 μB/cell
# Formation enthalpy at 0 K   0.76 eV/atom
# Final energy   -4.488 eV per atom
data_MnHg2Os
_chemical_formula_sum 'Mn2 Hg4 Os2'
_space_group_name_H-M_alt 'C m m m'
_space_group_IT_number 65
_space_group_name_Hall '-C 2 2'
_cell_length_a 2.9803
_cell_length_b 4.9480
_cell_length_c 9.6888
_cell_angle_alpha 90.00
_cell_angle_beta 90.00
_cell_angle_gamma 90.00
loop_
_atom_site_label
_atom_site_type_symbol
_atom_site_fract_x
_atom_site_fract_y
_atom_site_fract_z
Mn1 Mn 0.0000 0.0000 0.0000
Hg1 Hg 0.0000 0.5000 0.2460
Os1 Os 0.0000 0.0000 0.5000

---

# 6
# Ba2AgAs PBE-GGA relaxed
# Magnetic moment   0.00 μB/cell
# Formation enthalpy at 0 K   -0.65 eV/atom
# Final energy   -3.485 eV per atom
data_Ba2AgAs
_chemical_formula_sum 'Ba2 Ag1 As1'
_space_group_name_H-M_alt 'P m m m'
_space_group_IT_number 47
_space_group_name_Hall '-P 2 2'
_cell_length_a 4.0139
_cell_length_b 4.1476
_cell_length_c 8.2294
_cell_angle_alpha 90.00
_cell_angle_beta 90.00
_cell_angle_gamma 90.00
loop_
_atom_site_label
_atom_site_type_symbol
_atom_site_fract_x
_atom_site_fract_y
_atom_site_fract_z
Ba1 Ba 0.0000 0.0000 0.2199
Ag1 Ag 0.5000 0.5000 0.5000
As1 As 0.5000 0.5000 0.0000